Nb3VPd | PBE | optimized geometry

Calculated values
The formation enthalpy at 0 K is 0.92 eV/atom. The value obtained for the distance to the lowest polymorph of the same formula is 0.00 kcal/mol of atoms.

Cell lengths 4.6050, 4.6050, 4.6050 Å; angles 90.00, 90.00, 90.00 degrees
Sites, in units of the cell vectors:
Nb 0.0000 0.0000 0.5000
Nb 0.0000 0.5000 0.0000
Nb 0.5000 0.0000 0.0000
V 0.0000 0.0000 0.0000
Pd 0.5000 0.5000 0.5000

=====

LiScI4 | PBE | optimized geometry

Calculated values
The uncorrected formation energy is -1.187 eV per atom. The value obtained for the distance to the lowest polymorph of the same formula is 0.65 kcal/mol of atoms.

Cell lengths 10.1531, 10.1531, 7.3282 Å; angles 102.98, 102.98, 131.58 degrees
Sites, in units of the cell vectors:
Li 0.0731 0.9269 0.7500
Li 0.9269 0.0731 0.2500
Sc 0.4293 0.5707 0.2500
Sc 0.5707 0.4293 0.7500
I 0.0809 0.4241 0.2441
I 0.2132 0.3117 0.7719
I 0.3117 0.2132 0.2719
I 0.4241 0.0809 0.7441
I 0.5759 0.9191 0.2559
I 0.6883 0.7868 0.7281
I 0.7868 0.6883 0.2281
I 0.9191 0.5759 0.7559

=====

PmNdHgRh | PBE | optimized geometry

Calculated values
The formation enthalpy at 0 K is -0.52 eV/atom.

Cell lengths 5.2023, 5.2023, 5.2023 Å; angles 60.00, 60.00, 60.00 degrees
Sites, in units of the cell vectors:
Pm 0.0000 0.0000 0.0000
Nd 0.5000 0.5000 0.5000
Hg 0.2500 0.2500 0.2500
Rh 0.7500 0.7500 0.7500

=====

KMg2Zn2Ge2 | PBE | optimized geometry

Calculated values
The formation enthalpy at 0 K is -0.14 eV/atom.

Cell lengths 9.5260, 9.5260, 9.5260 Å; angles 27.41, 27.41, 27.41 degrees
Sites, in units of the cell vectors:
K 0.0000 0.0000 0.0000
Mg 0.1388 0.1388 0.1388
Mg 0.8612 0.8612 0.8612
Zn 0.4368 0.4368 0.4368
Zn 0.5632 0.5632 0.5632
Ge 0.2428 0.2428 0.2428
Ge 0.7572 0.7572 0.7572

=====

NaSrCa2 | PBE | optimized geometry

Calculated values
The formation enthalpy at 0 K is 0.03 eV/atom. The value obtained for the distance to the lowest polymorph of the same formula is 0.00 kcal/mol of atoms.

Cell lengths 11.5544, 11.5544, 11.5544 Å; angles 151.54, 151.54, 40.68 degrees
Sites, in units of the cell vectors:
Na 0.2500 0.7500 0.5000
Na 0.7500 0.2500 0.5000
Sr 0.1298 0.1298 0.0000
Sr 0.8702 0.8702 0.0000
Ca 0.0000 0.5000 0.5000
Ca 0.3725 0.3725 0.0000
Ca 0.5000 0.0000 0.5000
Ca 0.6275 0.6275 0.0000

=====

BaNa2Si | PBE | optimized geometry

Calculated values
The uncorrected formation energy is 0.157 eV per atom.

Cell lengths 11.9653, 11.9653, 11.9653 Å; angles 156.33, 156.33, 33.72 degrees
Sites, in units of the cell vectors:
Ba 0.0000 0.0000 0.0000
Ba 0.7500 0.2500 0.5000
Na 0.2082 0.6250 0.0832
Na 0.3750 0.4582 0.5832
Na 0.5418 0.1250 0.9168
Na 0.8750 0.7918 0.4168
Si 0.2500 0.7500 0.5000
Si 0.5000 0.5000 0.0000